! PBE In2HgBi, relaxed; values from VASP
&SYSTEM
  ibrav = 0, nat = 4, ntyp = 3
/
ATOMIC_SPECIES
In 114.82 In.upf
Hg 200.59 Hg.upf
Bi 208.98 Bi.upf
ATOMIC_POSITIONS crystal
In 0.000 0.000 0.236
In 0.000 0.000 0.764
Hg 0.500 0.500 0.000
Bi 0.500 0.500 0.500
CELL_PARAMETERS angstrom
3.559 0.000 0.000
0.000 3.559 0.000
0.000 0.000 9.014
! Relative energy among the computed polymorphs (meV/atom): 24.1
! N(E_F) (states/eV per cell): 1.26

***

! PBE In4Hg8Bi3, relaxed; values from VASP
&SYSTEM
  ibrav = 0, nat = 15, ntyp = 3
/
ATOMIC_SPECIES
In 114.82 In.upf
Hg 200.59 Hg.upf
Bi 208.98 Bi.upf
ATOMIC_POSITIONS crystal
In 0.000 0.500 0.116
In 0.000 0.500 0.640
In 0.500 0.000 0.360
In 0.500 0.000 0.884
Hg 0.000 0.000 0.237
Hg 0.000 0.000 0.763
Hg 0.000 0.500 0.360
Hg 0.000 0.500 0.889
Hg 0.500 0.000 0.111
Hg 0.500 0.000 0.640
Hg 0.500 0.500 0.235
Hg 0.500 0.500 0.765
Bi 0.000 0.000 0.000
Bi 0.000 0.000 0.500
Bi 0.500 0.500 0.500
CELL_PARAMETERS angstrom
4.749 0.000 0.000
0.000 4.749 0.000
0.000 0.000 19.052
! N(E_F) (states/eV per cell): 7.05

***

! PBE In3Hg8Bi, relaxed; values from VASP
&SYSTEM
  ibrav = 0, nat = 12, ntyp = 3
/
ATOMIC_SPECIES
In 114.82 In.upf
Hg 200.59 Hg.upf
Bi 208.98 Bi.upf
ATOMIC_POSITIONS crystal
In 0.000 0.000 0.000
In 0.168 0.824 0.659
In 0.414 0.071 0.166
Hg 0.085 0.405 0.820
Hg 0.250 0.233 0.483
Hg 0.332 0.659 0.336
Hg 0.492 0.480 0.007
Hg 0.669 0.313 0.648
Hg 0.748 0.739 0.500
Hg 0.831 0.147 0.322
Hg 0.912 0.581 0.170
Bi 0.581 0.901 0.839
CELL_PARAMETERS angstrom
5.576 0.000 0.000
0.183 6.365 0.000
2.527 0.468 9.576
! N(E_F) (states/eV per cell): 2.68

***

! PBE In3HgBi, relaxed; values from VASP
&SYSTEM
  ibrav = 0, nat = 5, ntyp = 3
/
ATOMIC_SPECIES
In 114.82 In.upf
Hg 200.59 Hg.upf
Bi 208.98 Bi.upf
ATOMIC_POSITIONS crystal
In 0.000 0.000 0.500
In 0.000 0.500 0.000
In 0.500 0.000 0.000
Hg 0.000 0.000 0.000
Bi 0.500 0.500 0.500
CELL_PARAMETERS angstrom
5.526 0.000 0.000
0.000 5.526 0.000
0.000 0.000 5.526
! Relative energy among the computed polymorphs (meV/atom): 295.4
! N(E_F) (states/eV per cell): 2.21

***

! PBE In4Hg5Bi, relaxed; values from VASP
&SYSTEM
  ibrav = 0, nat = 20, ntyp = 3
/
ATOMIC_SPECIES
In 114.82 In.upf
Hg 200.59 Hg.upf
Bi 208.98 Bi.upf
ATOMIC_POSITIONS crystal
In 0.030 0.250 0.080
In 0.250 0.050 0.844
In 0.250 0.450 0.844
In 0.470 0.250 0.080
In 0.530 0.750 0.920
In 0.750 0.550 0.156
In 0.750 0.950 0.156
In 0.970 0.750 0.920
Hg 0.081 0.553 0.296
Hg 0.081 0.947 0.296
Hg 0.250 0.250 0.456
Hg 0.419 0.553 0.296
Hg 0.419 0.947 0.296
Hg 0.581 0.053 0.704
Hg 0.581 0.447 0.704
Hg 0.750 0.750 0.544
Hg 0.919 0.053 0.704
Hg 0.919 0.447 0.704
Bi 0.250 0.750 0.646
Bi 0.750 0.250 0.354
CELL_PARAMETERS angstrom
9.473 0.000 0.000
0.000 9.779 0.000
0.000 0.000 6.131
! N(E_F) (states/eV per cell): 4.95

***

! PBE In3Hg6Bi, relaxed; values from VASP
&SYSTEM
  ibrav = 0, nat = 10, ntyp = 3
/
ATOMIC_SPECIES
In 114.82 In.upf
Hg 200.59 Hg.upf
Bi 208.98 Bi.upf
ATOMIC_POSITIONS crystal
In 0.000 0.000 0.000
In 0.000 0.000 0.295
In 0.000 0.000 0.705
Hg 0.333 0.667 0.098
Hg 0.333 0.667 0.393
Hg 0.333 0.667 0.803
Hg 0.667 0.333 0.197
Hg 0.667 0.333 0.607
Hg 0.667 0.333 0.902
Bi 0.000 0.000 0.500
CELL_PARAMETERS angstrom
3.970 0.000 0.000
-1.985 3.438 0.000
0.000 0.000 20.763
! N(E_F) (states/eV per cell): 4.86

***

Per-record M_tot, μB per cell: 0.00 0.00 0.00 0.00 0.00 0.00
Per-record ρ, Mg/m³: 9.296 10.402 10.543 7.420 9.773 10.297
Per-record energy relative to the elements, eV per atom: 0.006 0.051 0.016 0.324 0.022 0.043